1.
Entry from the Alexandria database: a geometry-optimized Cr2SbMo structure (PBEsol).

a = 5.001 Å, b = 5.001 Å, c = 5.001 Å
α = 136.51°, β = 136.51°, γ = 63.19°
Positions (direct):
Cr 0.000 0.000 0.000
Cr 0.750 0.250 0.500
Sb 0.250 0.750 0.500
Mo 0.500 0.500 0.000

Values from the calculation:
theoretical density: 9.1 g cm⁻³
N(E_F): 4.031 states/eV per cell
E_form (uncorrected): 0.30 eV per atom

=====

2.
Entry from the Alexandria database: a geometry-optimized Sc2CrMo structure (PBEsol).

a = 3.080 Å, b = 3.080 Å, c = 7.485 Å
α = 90.00°, β = 90.00°, γ = 90.00°
Positions (direct):
Sc 0.000 0.000 0.000
Sc 0.500 0.500 0.354
Cr 0.000 0.000 0.585
Mo 0.500 0.500 0.756

Values from the calculation:
formation energy from the elements: 0.10 eV per atom
theoretical density: 5.6 g cm⁻³
N(E_F): 4.021 states/eV per cell